## KY2Fe2 (meta-GGA SCAN)

Data for a PBEsol-optimized structure of KY2Fe2.

Geometry as POSCAR:
```
KY2Fe2
1.0
-0.4733 -0.2004 3.3894
-0.2655 -3.4095 -0.2387
11.7776 0.8092 -0.0413
Y K Fe
2 1 2
Direct
0.3454 0.3454 0.6907 Y
0.6546 0.6546 0.3093 Y
0.0000 0.0000 0.0000 K
0.7500 0.2500 0.5000 Fe
0.2500 0.7500 0.5000 Fe
```

Final energy ... -19.687 eV per atom
Energy relative to the elements ... 0.37 eV per atom

***

## AlFeCl2 (meta-GGA SCAN)

Data for a PBEsol-optimized structure of AlFeCl2.

Geometry as POSCAR:
```
AlFeCl2
1.0
3.2825 0.0000 0.0000
0.0000 3.6020 -0.0405
-1.6412 -1.7204 6.5408
Cl Al Fe
2 1 1
Direct
0.3608 0.3612 0.7216 Cl
0.6392 0.6388 0.2784 Cl
0.5000 0.0000 0.0000 Al
0.0000 0.5000 0.0000 Fe
```

Formation energy without anion corrections ... -416 meV/atom
Final energy ... -10.875 eV per atom

***

## K2TeBr (meta-GGA SCAN)

Data for a PBEsol-optimized structure of K2TeBr.

Geometry as POSCAR:
```
K2TeBr
1.0
-0.6251 4.8644 2.5595
-1.8991 -4.8377 2.7518
2.9446 -1.8789 4.2900
Br K Te
1 2 1
Direct
0.0000 0.0000 0.0000 Br
0.2500 0.5000 0.2500 K
0.7500 0.5000 0.7500 K
0.5000 0.0000 0.5000 Te
```

Formation energy without anion corrections ... -1164 meV/atom
Final energy ... -19.506 eV per atom